Entry 1:
VASP calculation (PBE) on crystalline KCdFe2Rh at its relaxed geometry.

Unit cell a=4.576 b=4.836 c=4.576 alpha=90.00 beta=90.00 gamma=90.00
Each line ends with the local moment (μB).
Sites, in units of the cell vectors:
K: 0.000 0.000 0.000  -0.03
Rh: 0.000 0.500 0.000  0.43
Fe: 0.000 0.000 0.500  2.58
Fe: 0.500 0.000 0.000  3.04
Cd: 0.500 0.500 0.500  -0.02

Results
Energy (eV/cell): -15.81
N(E_F) (states/eV per atom): 1.4000
E_form (meV/atom): 2096
Space-group type: P4/mmm, No. 123
Calculated volume (Å³/atom): 20.3



Entry 2:
VASP calculation (PBE) on crystalline KCdFeSb2 at its relaxed geometry.

Unit cell a=4.904 b=6.292 c=4.904 alpha=90.00 beta=90.00 gamma=90.00
Each line ends with the local moment (μB).
Sites, in units of the cell vectors:
Sb: 0.000 0.000 0.500  0.00
Sb: 0.500 0.000 0.000  -0.06
K: 0.000 0.500 0.000  0.00
Fe: 0.000 0.000 0.000  1.10
Cd: 0.500 0.500 0.500  0.00

Results
Energy (eV/cell): -17.37
N(E_F) (states/eV per atom): 0.6685
Space-group type: P4/mmm, No. 123
Calculated volume (Å³/atom): 30.3
E_form (uncorrected) (meV/atom): 269



Entry 3:
VASP calculation (PBE) on crystalline K2CdFeSi at its relaxed geometry.

Unit cell a=6.626 b=4.715 c=6.626 alpha=90.00 beta=90.00 gamma=90.00
Each line ends with the local moment (μB).
Sites, in units of the cell vectors:
K: 0.000 0.000 0.500  0.00
K: 0.500 0.000 0.000  0.00
Si: 0.000 0.500 0.000  0.04
Fe: 0.500 0.500 0.500  3.29
Cd: 0.000 0.000 0.000  0.01

Results
Energy (eV/cell): -12.10
N(E_F) (states/eV per atom): 1.4151
Space-group type: P4/mmm, No. 123
Calculated volume (Å³/atom): 41.4
E_form (uncorrected) (meV/atom): 979



Entry 4:
VASP calculation (PBE) on crystalline KCdFeSn2 at its relaxed geometry.

Unit cell a=4.982 b=4.982 c=5.273 alpha=90.00 beta=90.00 gamma=90.00
Each line ends with the local moment (μB).
Sites, in units of the cell vectors:
Fe: 0.000 0.000 0.000  1.12
K: 0.500 0.500 0.500  0.01
Sn: 0.000 0.500 0.000  -0.02
Sn: 0.500 0.000 0.000  -0.02
Cd: 0.000 0.000 0.500  -0.04

Results
Energy (eV/cell): -18.41
N(E_F) (states/eV per atom): 0.5172
E_form (meV/atom): 14
Space-group type: P4/mmm, No. 123
Calculated volume (Å³/atom): 26.2



Entry 5:
VASP calculation (PBE) on crystalline KCdFe2Tc at its relaxed geometry.

Unit cell a=5.011 b=5.285 c=5.011 alpha=90.00 beta=90.00 gamma=90.00
Each line ends with the local moment (μB).
Sites, in units of the cell vectors:
Fe: 0.000 0.000 0.500  3.36
Fe: 0.500 0.000 0.000  2.80
K: 0.500 0.500 0.500  0.00
Tc: 0.000 0.500 0.000  2.81
Cd: 0.000 0.000 0.000  -0.04

Results
Energy (eV/cell): -20.56
N(E_F) (states/eV per atom): 2.6929
E_form (meV/atom): 1749
Space-group type: P4/mmm, No. 123
Calculated volume (Å³/atom): 26.5



Entry 6:
VASP calculation (PBE) on crystalline KCdFe2Te at its relaxed geometry.

Unit cell a=4.910 b=6.403 c=4.910 alpha=90.00 beta=90.00 gamma=90.00
Each line ends with the local moment (μB).
Sites, in units of the cell vectors:
K: 0.000 0.500 0.000  -0.01
Te: 0.000 0.000 0.000  -0.01
Fe: 0.000 0.000 0.500  2.50
Fe: 0.500 0.000 0.000  2.85
Cd: 0.500 0.500 0.500  0.00

Results
Energy (eV/cell): -18.32
N(E_F) (states/eV per atom): 2.9361
E above lowest polymorph (eV/atom): 0.000
Space-group type: P4/mmm, No. 123
Calculated volume (Å³/atom): 30.9
E_form (uncorrected) (meV/atom): 751



Q: Look up the N(E_F) of the third one.
A: 1.4151 states/eV per atom